Record 1
# Sc2PbAu, PBEsol geometry, DFT meta-GGA SCAN
# Mass density   9.4 g cm⁻³
# Calculated formation energy   -0.8030 eV per atom
# DOS(E_F)   2.00 states/eV/cell
data_Sc2PbAu
_symmetry_space_group_name_H-M 'P 1'
_symmetry_Int_Tables_number 1
_cell_length_a 3.797
_cell_length_b 4.300
_cell_length_c 5.692
_cell_angle_alpha 90.00
_cell_angle_beta 109.48
_cell_angle_gamma 90.00
loop_
_symmetry_equiv_pos_as_xyz
'x,y,z'
loop_
_atom_site_label
_atom_site_fract_x
_atom_site_fract_y
_atom_site_fract_z
Sc1 0.971 0.000 0.942
Sc2 0.258 0.500 0.517
Pb1 0.532 0.500 0.064
Au1 0.716 0.000 0.432


Record 2
# ScPb2Au, PBEsol geometry, DFT meta-GGA SCAN
# Mass density   11.4 g cm⁻³
# Calculated formation energy   -0.4491 eV per atom
# DOS(E_F)   2.30 states/eV/cell
data_ScPb2Au
_symmetry_space_group_name_H-M 'P 1'
_symmetry_Int_Tables_number 1
_cell_length_a 3.437
_cell_length_b 3.437
_cell_length_c 8.093
_cell_angle_alpha 90.01
_cell_angle_beta 90.00
_cell_angle_gamma 90.00
loop_
_symmetry_equiv_pos_as_xyz
'x,y,z'
loop_
_atom_site_label
_atom_site_fract_x
_atom_site_fract_y
_atom_site_fract_z
Pb1 0.000 0.000 0.037
Pb2 0.500 0.500 0.719
Au1 0.500 0.500 0.286
Sc1 0.000 0.000 0.457


Record 3
# ScPb3Au, PBEsol geometry, DFT meta-GGA SCAN
# Mass density   8.7 g cm⁻³
# Calculated formation energy   0.4972 eV per atom
# DOS(E_F)   5.15 states/eV/cell
data_ScPb3Au
_symmetry_space_group_name_H-M 'P 1'
_symmetry_Int_Tables_number 1
_cell_length_a 5.474
_cell_length_b 5.474
_cell_length_c 5.474
_cell_angle_alpha 90.00
_cell_angle_beta 90.00
_cell_angle_gamma 90.00
loop_
_symmetry_equiv_pos_as_xyz
'x,y,z'
loop_
_atom_site_label
_atom_site_fract_x
_atom_site_fract_y
_atom_site_fract_z
Pb1 0.500 0.000 0.000
Pb2 0.000 0.500 0.000
Pb3 0.000 0.000 0.500
Sc1 0.000 0.000 0.000
Au1 0.500 0.500 0.500


Please write out number 3 again, unchanged.
# ScPb3Au, PBEsol geometry, DFT meta-GGA SCAN
# Mass density   8.7 g cm⁻³
# Calculated formation energy   0.4972 eV per atom
# DOS(E_F)   5.15 states/eV/cell
data_ScPb3Au
_symmetry_space_group_name_H-M 'P 1'
_symmetry_Int_Tables_number 1
_cell_length_a 5.474
_cell_length_b 5.474
_cell_length_c 5.474
_cell_angle_alpha 90.00
_cell_angle_beta 90.00
_cell_angle_gamma 90.00
loop_
_symmetry_equiv_pos_as_xyz
'x,y,z'
loop_
_atom_site_label
_atom_site_fract_x
_atom_site_fract_y
_atom_site_fract_z
Pb1 0.500 0.000 0.000
Pb2 0.000 0.500 0.000
Pb3 0.000 0.000 0.500
Sc1 0.000 0.000 0.000
Au1 0.500 0.500 0.500


Which value of DOS(E_F) does entry 3 give?
5.15 states/eV/cell


Which formula does entry 3 have?
ScPb3Au